Below is AlCdGaTe2Se2 after structural relaxation, with properties calculated at the PBE-GGA level.

electronic total energy = -3.55 eV/atom

a = 8.4228 Å, b = 11.3803 Å, c = 6.0250 Å
α = 90.00°, β = 133.44°, γ = 90.00°
Sites, in units of the cell vectors:
Al: 0.0000 0.0000 0.0000
Al: 0.5000 0.5000 0.0000
Cd: 0.0000 0.4958 0.0000
Cd: 0.5000 0.9958 0.0000
Ga: 0.0000 0.2341 0.5000
Ga: 0.5000 0.7341 0.5000
Te: 0.2143 0.8527 0.4695
Te: 0.2857 0.3527 0.5305
Te: 0.7143 0.3527 0.4695
Te: 0.7857 0.8527 0.5305
Se: 0.2290 0.1284 0.9952
Se: 0.2710 0.6284 0.0048
Se: 0.7290 0.6284 0.9952
Se: 0.7710 0.1284 0.0048